[1]
Here is a relaxed LiGa3Tc crystal from Alexandria via LeMat-Bulk. Energies are from GGA-PBE.

Summary:
Distance to the lowest polymorph of the same formula (eV/atom): 0.000
Total moment (μB per cell): 0.0

```
20
Lattice="-1.155 0.305 5.021 0.537 -8.015 0.611 7.698 3.407 1.564" Properties=species:S:1:pos:R:3 pbc="T T T"
Ga 5.070 0.127 1.635
Ga 2.010 -4.430 5.561
Ga 1.120 -5.486 2.768
Ga 2.202 1.329 3.905
Ga 5.806 -3.384 4.700
Ga 6.102 -0.918 5.940
Ga 0.978 -3.385 1.257
Ga 1.274 -0.918 2.496
Ga 1.331 -0.986 5.166
Ga 4.878 -5.632 3.292
Ga 5.749 -3.317 2.031
Ga 5.960 1.184 4.429
Tc 0.601 -2.957 3.799
Tc 4.502 -5.203 5.830
Tc 6.479 -1.346 3.398
Tc 2.578 0.901 1.366
Li 7.298 2.038 1.794
Li 3.836 -0.755 3.820
Li -0.218 -6.341 5.402
Li 3.244 -3.548 3.376
```

***

[2]
Here is a relaxed LiGa2Tc crystal from Alexandria via LeMat-Bulk. Energies are from GGA-PBE.

Summary:
Energy (eV/cell): -19.32
Total moment (μB per cell): 0.0

```
4
Lattice="-0.120 2.258 2.255 -0.499 -2.242 2.219 5.572 -0.475 0.773" Properties=species:S:1:pos:R:3 pbc="T T T"
Ga 1.361 -0.116 0.189
Ga 4.211 -0.359 0.584
Tc -0.310 0.008 2.237
Li 2.476 -0.229 2.623
```

***

[3]
Here is a relaxed Li2Ga5Tc2 crystal from Alexandria via LeMat-Bulk. Energies are from GGA-PBE.

Summary:
Energy (eV/cell): -79.45
Total moment (μB per cell): 0.0

```
18
Lattice="6.448 0.000 0.000 0.000 6.987 0.000 0.000 -3.493 6.342" Properties=species:S:1:pos:R:3 pbc="T T T"
Ga 5.298 4.626 1.799
Ga 2.074 5.854 1.799
Ga 2.074 2.361 4.543
Ga 1.151 2.361 1.799
Ga 1.151 -1.133 4.543
Ga 3.224 3.493 0.000
Ga 0.000 0.000 0.000
Ga 5.298 1.133 4.543
Ga 4.375 -2.361 4.543
Ga 4.375 1.133 1.799
Tc 4.075 5.985 0.000
Tc 0.851 4.496 0.000
Tc 2.373 1.002 0.000
Tc 5.597 2.491 0.000
Li 3.224 0.000 3.717
Li 3.224 3.493 2.625
Li 0.000 0.000 2.625
Li 0.000 3.493 3.717
```

***

[4]
Here is a relaxed Li2Ga3Tc crystal from Alexandria via LeMat-Bulk. Energies are from GGA-PBE.

Summary:
Energy (eV/cell): -48.99
Total moment (μB per cell): 0.0

```
12
Lattice="4.907 -0.016 -1.162 -2.512 4.345 -0.484 0.262 -0.216 8.072" Properties=species:S:1:pos:R:3 pbc="T T T"
Ga 4.287 0.462 6.213
Ga 0.116 2.020 4.245
Ga 1.546 0.055 5.679
Ga 1.111 4.058 0.747
Ga 2.541 2.093 2.182
Ga -1.630 3.652 0.213
Tc 2.736 2.208 4.861
Tc -0.080 1.905 1.565
Li 2.090 1.492 -0.235
Li 1.272 4.112 3.348
Li 0.567 2.621 6.661
Li 1.385 0.001 3.078
```

***

[5]
Here is a relaxed LiGa2Tc crystal from Alexandria via LeMat-Bulk. Energies are from GGA-PBE.

Summary:
Energy (eV/cell): -34.19
Total moment (μB per cell): 0.0

```
8
Lattice="-1.423 1.784 3.057 2.954 -1.216 2.085 5.293 7.588 0.416" Properties=species:S:1:pos:R:3 pbc="T T T"
Li 0.765 0.284 2.571
Li 4.506 3.328 2.536
Tc 0.000 0.000 0.000
Tc 2.318 4.828 3.022
Ga 5.360 6.167 4.847
Ga 0.778 2.891 2.328
Ga 4.493 5.925 2.204
Ga 3.016 1.329 1.737
```

***

[6]
Here is a relaxed LiGa2Tc crystal from Alexandria via LeMat-Bulk. Energies are from GGA-PBE.

Summary:
Energy (eV/cell): -18.86
Total moment (μB per cell): 0.0

```
4
Lattice="2.896 0.000 0.000 1.448 2.508 0.000 1.448 0.836 8.537" Properties=species:S:1:pos:R:3 pbc="T T T"
Ga 1.448 0.836 6.482
Ga 1.448 0.836 2.065
Tc 2.896 1.672 0.004
Li 2.896 1.672 4.254
```

***

[7]
Here is a relaxed LiGa2Tc crystal from Alexandria via LeMat-Bulk. Energies are from GGA-PBE.

Summary:
Energy (eV/cell): -18.78
Total moment (μB per cell): 0.0

```
4
Lattice="-0.542 1.681 2.287 -2.484 -0.287 1.448 2.686 -5.390 6.424" Properties=species:S:1:pos:R:3 pbc="T T T"
Ga -0.222 -3.050 7.665
Ga -0.118 -0.947 2.493
Li -0.170 -1.999 5.079
Tc 0.000 0.000 0.000
```

***

[8]
Here is a relaxed LiGa4Tc crystal from Alexandria via LeMat-Bulk. Energies are from GGA-PBE.

Summary:
Distance to the lowest polymorph of the same formula (eV/atom): 0.000
Total moment (μB per cell): 0.0

```
6
Lattice="3.332 0.000 0.000 0.000 3.335 0.000 0.000 0.001 8.383" Properties=species:S:1:pos:R:3 pbc="T T T"
Ga 0.000 1.668 5.496
Ga 1.666 3.335 1.443
Ga 0.000 1.668 2.886
Ga 1.666 0.001 6.940
Li 0.000 1.667 0.000
Tc 1.666 0.000 4.192
```

***

[9]
Here is a relaxed LiGa2TcTe crystal from Alexandria via LeMat-Bulk. Energies are from GGA-PBE.

Summary:
Energy relative to the elements, uncorrected (eV/atom): 0.647
Total moment (μB per cell): 2.3

```
5
Lattice="-1.160 2.938 -3.237 -2.769 -3.292 -1.996 -3.483 1.402 2.521" Properties=species:S:1:pos:R:3 pbc="T T T"
Li 0.000 0.000 0.000
Ga -0.580 1.469 -1.618
Ga -1.742 0.701 1.261
Tc -1.385 -1.646 -0.998
Te -3.706 0.524 -1.356
```

***

[10]
Here is a relaxed LiThGaTc crystal from Alexandria via LeMat-Bulk. Energies are from GGA-PBE.

Summary:
Energy (eV/cell): -23.19
Total moment (μB per cell): 0.0

```
4
Lattice="-4.254 -0.329 -1.995 -2.051 -4.212 -0.493 -3.751 -1.114 2.622" Properties=species:S:1:pos:R:3 pbc="T T T"
Ga 0.000 0.000 0.000
Li -2.514 -1.414 0.034
Th -5.028 -2.827 0.067
Tc -7.542 -4.241 0.101
```